First-principles (PBE) data for crystalline PH21AuC27 at its relaxed geometry, as listed in the Open Quantum Materials Database.

Geometry as POSCAR:
```
PH21AuC27
1.0
7.454 0.000 0.000
-1.046 10.825 0.000
-2.437 -4.157 13.537
C Au H P
54 2 42 2
Direct
0.465 0.789 0.094
0.570 0.664 0.558
0.637 0.150 0.838
0.070 0.100 0.297
0.295 0.512 0.764
0.396 0.440 0.702
0.430 0.313 0.534
0.538 0.223 0.559
0.640 0.183 0.404
0.640 0.158 0.494
0.705 0.488 0.236
0.054 0.948 0.792
0.068 0.039 0.371
0.184 0.058 0.809
0.604 0.560 0.298
0.788 0.220 0.821
0.061 0.071 0.645
0.072 0.332 0.150
0.363 0.850 0.162
0.425 0.980 0.953
0.928 0.668 0.850
0.888 0.473 0.271
0.946 0.052 0.208
0.575 0.020 0.047
0.360 0.842 0.506
0.587 0.343 0.957
0.930 0.900 0.703
0.161 0.649 0.127
0.839 0.351 0.873
0.360 0.817 0.596
0.570 0.687 0.466
0.462 0.777 0.441
0.413 0.657 0.043
0.966 0.536 0.372
0.034 0.464 0.628
0.681 0.618 0.399
0.187 0.119 0.735
0.112 0.527 0.729
0.430 0.336 0.442
0.261 0.588 0.060
0.136 0.395 0.566
0.739 0.412 0.940
0.536 0.273 0.378
0.816 0.942 0.191
0.535 0.211 0.906
0.864 0.605 0.434
0.012 0.603 0.792
0.212 0.780 0.179
0.813 0.881 0.265
0.988 0.397 0.208
0.464 0.727 0.622
0.932 0.961 0.629
0.319 0.382 0.601
0.939 0.929 0.355
0.800 0.766 0.950
0.200 0.234 0.050
0.956 0.407 0.859
0.135 0.827 0.233
0.478 0.927 0.889
0.494 0.611 0.991
0.539 0.202 0.629
0.539 0.434 0.731
0.062 0.120 0.589
0.865 0.173 0.767
0.641 0.439 0.159
0.780 0.515 0.980
0.461 0.798 0.371
0.287 0.205 0.747
0.463 0.705 0.691
0.351 0.408 0.422
0.649 0.592 0.578
0.168 0.077 0.440
0.071 0.348 0.489
0.597 0.048 0.796
0.522 0.073 0.111
0.831 0.814 0.691
0.951 0.101 0.151
0.537 0.295 0.309
0.109 0.530 0.400
0.506 0.389 0.009
0.220 0.485 0.020
0.309 0.915 0.961
0.691 0.085 0.039
0.720 0.087 0.514
0.929 0.652 0.511
0.938 0.880 0.411
0.891 0.470 0.600
0.832 0.923 0.560
0.169 0.186 0.309
0.713 0.795 0.253
0.723 0.133 0.354
0.280 0.913 0.486
0.461 0.566 0.269
0.049 0.899 0.849
0.359 0.561 0.841
0.403 0.952 0.204
0.044 0.593 0.141
0.277 0.867 0.646
0.662 0.878 0.072
0.338 0.122 0.928
```

Results
SG: P-1, No. 2
electronic total energy: -653.0 eV per cell